Run 1
First-principles (PBE-GGA) data for crystalline Zn2H2Pd at its relaxed geometry, as listed in the Alexandria database.

a b c (Å): 5.1273 5.1273 4.1722
angles (deg): 90.00 90.00 90.00
Closest atoms and distances in Å follow each position.
Positions (direct):
H  0.2269  0.7269  0.0000  2 Pd 1.82
H  0.7269  0.7731  0.0000  2 Pd 1.82
H  0.7731  0.2731  0.0000  2 Pd 1.82
H  0.2731  0.2269  0.0000  2 Pd 1.82
Zn  0.1823  0.6823  0.5000  2 H 2.11
Zn  0.6823  0.8177  0.5000  2 H 2.11
Zn  0.8177  0.3177  0.5000  2 H 2.11
Zn  0.3177  0.1823  0.5000  2 H 2.11
Pd  0.0000  0.0000  0.0000  4 H 1.82
Pd  0.5000  0.5000  0.0000  4 H 1.82

total moment: 0.00 μB per formula unit



Run 2
First-principles (PBE-GGA) data for crystalline Zn2H2Pd at its relaxed geometry, as listed in the Alexandria database.

a b c (Å): 2.9257 2.9257 6.3983
angles (deg): 76.78 76.78 90.00
Closest atoms and distances in Å follow each position.
Positions (direct):
H  0.7500  0.2500  0.5000  4 Zn 1.95, 4 H 2.07
H  0.2500  0.7500  0.5000  4 Zn 1.95, 4 H 2.07
Zn  0.3570  0.3570  0.2860  4 H 1.95
Zn  0.6430  0.6430  0.7140  4 H 1.95
Pd  0.0000  0.0000  0.0000  8 Zn 2.70, 4 Pd 2.93

total moment: 0.00 μB per formula unit



Tell me which of them is the most stable. Sure, it is run 1.



Run 1
First-principles (PBE-GGA) data for crystalline ZnHPd5 at its relaxed geometry, as listed in the Alexandria database.

a b c (Å): 3.8329 3.8360 6.6095
angles (deg): 90.00 90.00 90.00
Closest atoms and distances in Å follow each position.
Positions (direct):
Zn  0.0000  0.0000  0.5000  12 Pd 2.71-2.76
H  0.5000  0.5000  0.0000  8 Pd 2.33
Pd  0.0000  0.5000  0.8007  2 H 2.33
Pd  0.0000  0.5000  0.1993  2 H 2.33
Pd  0.5000  0.0000  0.8007  2 H 2.33
Pd  0.5000  0.0000  0.1993  2 H 2.33
Pd  0.5000  0.5000  0.5000  4 Zn 2.71, 8 Pd 2.76

total moment: 0.00 μB per formula unit



Run 2
First-principles (PBE-GGA) data for crystalline ZnHPd5 at its relaxed geometry, as listed in the Alexandria database.

a b c (Å): 5.7949 5.7949 8.6714
angles (deg): 58.70 58.70 75.15
Closest atoms and distances in Å follow each position.
Positions (direct):
Zn  0.7298  0.2702  0.2500  5 Pd 2.55-2.60
Zn  0.2702  0.7298  0.7500  5 Pd 2.55-2.60
H  0.0000  0.0000  0.0000  2 Pd 1.70
H  0.0000  0.0000  0.5000  2 Pd 1.70
Pd  0.6769  0.9008  0.1851  1 H 1.70
Pd  0.3232  0.4665  0.4600  1 Zn 2.55, 8 Pd 2.64-2.79
Pd  0.9008  0.6769  0.6851  1 H 1.70
Pd  0.0948  0.9052  0.2500  2 H 2.27
Pd  0.5335  0.6768  0.0400  1 Zn 2.55, 8 Pd 2.64-2.79
Pd  0.4665  0.3232  0.9600  1 Zn 2.55, 8 Pd 2.64-2.79
Pd  0.9052  0.0948  0.7500  2 H 2.27
Pd  0.0992  0.3231  0.3149  1 H 1.70
Pd  0.6768  0.5335  0.5400  1 Zn 2.55, 8 Pd 2.64-2.79
Pd  0.3231  0.0992  0.8149  1 H 1.70

total moment: 0.00 μB per formula unit



Tell me which of them is the most stable. Sure, it is run 1.



Run 1
First-principles (PBE-GGA) data for crystalline Zn2HPd6 at its relaxed geometry, as listed in the Alexandria database.

a b c (Å): 3.9024 3.9024 10.0872
angles (deg): 101.15 101.15 90.00
Closest atoms and distances in Å follow each position.
Positions (direct):
Zn  0.1642  0.1642  0.3284  6 Pd 2.50-2.56
Zn  0.8358  0.8358  0.6716  6 Pd 2.50-2.56
H  0.5000  0.5000  0.0000  4 Pd 1.78
Pd  0.8115  0.3001  0.1116  1 H 1.78
Pd  0.6999  0.6999  0.8884  1 H 1.78
Pd  0.3001  0.8115  0.1116  1 H 1.78
Pd  0.1885  0.1885  0.8884  1 H 1.78
Pd  0.7500  0.2500  0.5000  4 Zn 2.56, 4 Pd 2.76
Pd  0.2500  0.7500  0.5000  4 Zn 2.56, 4 Pd 2.76

total moment: 0.00 μB per formula unit



Run 2
First-principles (PBE-GGA) data for crystalline Zn2HPd6 at its relaxed geometry, as listed in the Alexandria database.

a b c (Å): 5.5765 5.5765 5.5749
angles (deg): 60.01 60.01 59.98
Closest atoms and distances in Å follow each position.
Positions (direct):
Zn  0.2500  0.2500  0.2498  12 Pd 2.79
Zn  0.7500  0.7500  0.7502  12 Pd 2.79
H  0.5000  0.5000  0.5000  6 Pd 1.99
Pd  0.2481  0.2481  0.7513  1 H 1.99
Pd  0.2485  0.7520  0.2479  1 H 1.99
Pd  0.7515  0.2480  0.7521  1 H 1.99
Pd  0.7520  0.2485  0.2479  1 H 1.99
Pd  0.2480  0.7515  0.7521  1 H 1.99
Pd  0.7519  0.7519  0.2487  1 H 1.99

total moment: 0.00 μB per formula unit



Tell me which of them is the most stable. Sure, it is run 2.



Run 1
First-principles (PBE-GGA) data for crystalline Zr2ZnHPd at its relaxed geometry, as listed in the Alexandria database.

a b c (Å): 4.3999 4.3999 3.9772
angles (deg): 90.00 90.00 90.00
Closest atoms and distances in Å follow each position.
Positions (direct):
H  0.0000  0.0000  0.0000  2 Pd 1.99, 4 Zr 2.20
Zn  0.5000  0.5000  0.5000  8 Zr 2.97, 4 Pd 3.11
Zr  0.0000  0.5000  0.0000  2 H 2.20
Zr  0.5000  0.0000  0.0000  2 H 2.20
Pd  0.0000  0.0000  0.5000  2 H 1.99

total moment: 0.00 μB per formula unit



Run 2
First-principles (PBE-GGA) data for crystalline Zr2ZnHPd at its relaxed geometry, as listed in the Alexandria database.

a b c (Å): 4.3053 4.3053 4.0998
angles (deg): 90.00 90.00 90.00
Closest atoms and distances in Å follow each position.
Positions (direct):
H  0.0000  0.0000  0.0000  2 Zn 2.05, 4 Zr 2.15
Zn  0.0000  0.0000  0.5000  2 H 2.05
Zr  0.0000  0.5000  0.0000  2 H 2.15
Zr  0.5000  0.0000  0.0000  2 H 2.15
Pd  0.5000  0.5000  0.5000  8 Zr 2.97, 4 Zn 3.04

total moment: 0.00 μB per formula unit



Tell me which of them is the most stable. Sure, it is run 1.



Run 1
First-principles (PBE-GGA) data for crystalline Zr2HPd2 at its relaxed geometry, as listed in the Alexandria database.

a b c (Å): 3.6383 3.6383 7.5369
angles (deg): 76.03 76.03 90.00
Closest atoms and distances in Å follow each position.
Positions (direct):
H  0.0000  0.0000  0.0000  8 Zr 2.96
Zr  0.3973  0.3973  0.2053  4 Pd 2.77, 1 Zr 2.91, 4 H 2.96
Zr  0.6027  0.6027  0.7947  4 Pd 2.77, 1 Zr 2.91, 4 H 2.96
Pd  0.7500  0.2500  0.5000  4 Pd 2.57, 4 Zr 2.77
Pd  0.2500  0.7500  0.5000  4 Pd 2.57, 4 Zr 2.77

total moment: 0.81 μB per formula unit



Run 2
First-principles (PBE-GGA) data for crystalline Zr2HPd2 at its relaxed geometry, as listed in the Alexandria database.

a b c (Å): 5.9803 5.9803 4.6315
angles (deg): 90.00 90.00 90.00
Closest atoms and distances in Å follow each position.
Positions (direct):
H  0.0000  0.0000  0.0000  4 Zr 2.22
H  0.5000  0.5000  0.0000  4 Zr 2.22
Zr  0.3285  0.8285  0.0000  2 H 2.22
Zr  0.8285  0.6715  0.0000  2 H 2.22
Zr  0.6715  0.1715  0.0000  2 H 2.22
Zr  0.1715  0.3285  0.0000  2 H 2.22
Pd  0.1581  0.6581  0.5000  1 Pd 2.67, 2 Zr 2.73
Pd  0.6581  0.8419  0.5000  1 Pd 2.67, 2 Zr 2.73
Pd  0.8419  0.3419  0.5000  1 Pd 2.67, 2 Zr 2.73
Pd  0.3419  0.1581  0.5000  1 Pd 2.67, 2 Zr 2.73

total moment: 0.00 μB per formula unit



Tell me which of them is the most stable. Sure, it is run 2.



Run 1
First-principles (PBE-GGA) data for crystalline Pm3H at its relaxed geometry, as listed in the Alexandria database.

a b c (Å): 3.4238 5.9595 6.1185
angles (deg): 119.14 106.25 90.00
Closest atoms and distances in Å follow each position.
Positions (direct):
H  0.0000  0.0416  0.0000  6 Pm 2.54-2.66
Pm  0.3212  0.7060  0.6424  2 H 2.66
Pm  0.5000  0.3555  0.0000  2 H 2.54
Pm  0.6788  0.0636  0.3576  2 H 2.66

total moment: 0.00 μB per formula unit



Run 2
First-principles (PBE-GGA) data for crystalline Pm3H at its relaxed geometry, as listed in the Alexandria database.

a b c (Å): 3.7938 6.3528 4.8121
angles (deg): 90.00 90.00 90.00
Closest atoms and distances in Å follow each position.
Positions (direct):
H  0.0000  0.9096  0.0000  4 Pm 2.23-2.41
Pm  0.5000  0.0954  0.0000  2 H 2.23
Pm  0.5000  0.4457  0.5000  4 Pm 3.28-3.36
Pm  0.0000  0.8827  0.5000  2 H 2.41

total moment: 0.00 μB per formula unit



Tell me which of them is the most stable. Sure, it is run 1.



Run 1
First-principles (PBE-GGA) data for crystalline PmPrH2 at its relaxed geometry, as listed in the Alexandria database.

a b c (Å): 3.6795 3.6795 11.7859
angles (deg): 90.00 90.00 120.00
Closest atoms and distances in Å follow each position.
Positions (direct):
Pm  0.3333  0.6667  0.2500  6 H 2.58
Pm  0.6667  0.3333  0.7500  6 H 2.58
Pr  0.0000  0.0000  0.0000  6 H 2.59
Pr  0.0000  0.0000  0.5000  6 H 2.59
H  0.3333  0.6667  0.8748  3 Pm 2.58, 3 Pr 2.59
H  0.6667  0.3333  0.1252  3 Pm 2.58, 3 Pr 2.59
H  0.6667  0.3333  0.3748  3 Pm 2.58, 3 Pr 2.59
H  0.3333  0.6667  0.6252  3 Pm 2.58, 3 Pr 2.59

total moment: 0.00 μB per formula unit



Run 2
First-principles (PBE-GGA) data for crystalline PmPrH2 at its relaxed geometry, as listed in the Alexandria database.

a b c (Å): 3.6375 3.6375 6.4841
angles (deg): 73.71 73.71 60.00
Closest atoms and distances in Å follow each position.
Positions (direct):
Pm  0.6695  0.6695  0.9915  6 H 2.51
Pr  0.4915  0.4915  0.5254  6 H 2.57-2.84
H  0.0773  0.0773  0.7682  3 Pm 2.51, 3 Pr 2.57
H  0.2617  0.2617  0.2149  3 Pm 2.51

total moment: 0.00 μB per formula unit



Run 3
First-principles (PBE-GGA) data for crystalline PmPrH2 at its relaxed geometry, as listed in the Alexandria database.

a b c (Å): 3.6321 3.6321 6.2869
angles (deg): 73.21 73.21 60.00
Closest atoms and distances in Å follow each position.
Positions (direct):
Pr  0.5000  0.5000  0.5000  6 H 2.59
H  0.7475  0.7475  0.7575  3 Pm 2.54, 3 Pr 2.59
H  0.2525  0.2525  0.2425  3 Pm 2.54, 3 Pr 2.59
Pm  0.0000  0.0000  0.0000  6 H 2.54

total moment: 0.00 μB per formula unit



Tell me which of them is the most stable. Sure, it is run 3.



Run 1
First-principles (PBE-GGA) data for crystalline Pm2PrH at its relaxed geometry, as listed in the Alexandria database.

a b c (Å): 3.6039 3.6039 9.9642
angles (deg): 79.58 79.58 60.00
Closest atoms and distances in Å follow each position.
Positions (direct):
Pr  0.0000  0.0000  0.0000  2 Pm 3.49, 6 Pr 3.60
H  0.5000  0.5000  0.5000  6 Pm 2.50
Pm  0.1194  0.1194  0.6418  3 H 2.50
Pm  0.8806  0.8806  0.3582  3 H 2.50

total moment: 0.00 μB per formula unit



Run 2
First-principles (PBE-GGA) data for crystalline Pm2PrH at its relaxed geometry, as listed in the Alexandria database.

a b c (Å): 3.6971 3.6971 9.1510
angles (deg): 78.35 78.35 60.00
Closest atoms and distances in Å follow each position.
Positions (direct):
Pm  0.0533  0.0533  0.8402  3 H 2.57
Pm  0.2796  0.2796  0.1613  3 H 2.57
Pr  0.5007  0.5007  0.4980  6 Pm 3.68-3.72, 6 Pr 3.70
H  0.6665  0.6665  0.0005  6 Pm 2.57

total moment: 0.00 μB per formula unit



Tell me which of them is the most stable. Sure, it is run 2.



Run 1
First-principles (PBE-GGA) data for crystalline PmPrH at its relaxed geometry, as listed in the Alexandria database.

a b c (Å): 3.7536 3.7536 5.9066
angles (deg): 90.00 90.00 120.00
Closest atoms and distances in Å follow each position.
Positions (direct):
Pr  0.6667  0.3333  0.4245  3 H 2.61
H  0.3333  0.6667  0.6720  3 Pm 2.56, 3 Pr 2.61
Pm  0.0000  0.0000  0.9035  3 H 2.56

total moment: 0.00 μB per formula unit



Run 2
First-principles (PBE-GGA) data for crystalline PmPrH at its relaxed geometry, as listed in the Alexandria database.

a b c (Å): 3.4991 3.4991 6.7236
angles (deg): 105.08 105.08 90.00
Closest atoms and distances in Å follow each position.
Positions (direct):
Pr  0.7470  0.7470  0.4940  4 H 2.50
H  0.2185  0.2185  0.4369  1 Pm 2.30, 4 Pr 2.50
Pm  0.0345  0.0345  0.0691  1 H 2.30

total moment: 0.00 μB per formula unit



Tell me which of them is the most stable. Sure, it is run 1.



Run 1
First-principles (PBE-GGA) data for crystalline PmHPt3 at its relaxed geometry, as listed in the Alexandria database.

a b c (Å): 6.0217 6.0218 6.0217
angles (deg): 120.08 120.08 59.92
Closest atoms and distances in Å follow each position.
Positions (direct):
Pm  0.4936  0.6278  0.9075  1 H 2.50
Pm  0.9937  0.1279  0.4074  1 H 2.50
H  0.6629  0.7971  0.7382  3 Pt 1.82
H  0.1628  0.2971  0.2383  3 Pt 1.82
Pt  0.9846  0.6423  0.4165  1 H 1.82
Pt  0.5080  0.1188  0.4165  1 H 1.82
Pt  0.9846  0.1188  0.8930  1 H 1.82
Pt  0.4846  0.6188  0.3932  1 H 1.82
Pt  0.4846  0.1422  0.9165  1 H 1.82
Pt  0.0080  0.6188  0.9165  1 H 1.82

total moment: 0.00 μB per formula unit



Run 2
First-principles (PBE-GGA) data for crystalline PmHPt3 at its relaxed geometry, as listed in the Alexandria database.

a b c (Å): 4.2312 4.2312 4.2312
angles (deg): 90.00 90.00 90.00
Closest atoms and distances in Å follow each position.
Positions (direct):
H  0.0000  0.0000  0.0000  6 Pt 2.12
Pt  0.0000  0.5000  0.0000  2 H 2.12
Pt  0.0000  0.0000  0.5000  2 H 2.12
Pt  0.5000  0.0000  0.0000  2 H 2.12
Pm  0.5000  0.5000  0.5000  12 Pt 2.99

total moment: 0.00 μB per formula unit



Tell me which of them is the most stable. Sure, it is run 1.



Run 1
First-principles (PBE-GGA) data for crystalline PmH4Pt at its relaxed geometry, as listed in the Alexandria database.

a b c (Å): 7.2271 5.8672 4.7237
angles (deg): 103.94 117.15 119.80
Closest atoms and distances in Å follow each position.
Positions (direct):
Pm  0.3365  0.5865  0.1729  12 H 2.44-2.64
Pm  0.6635  0.4135  0.8271  12 H 2.44-2.64
H  0.8374  0.1313  0.8552  1 H 1.53, 1 Pt 1.66
H  0.7777  0.6371  0.4723  1 H 1.53, 1 Pt 1.70
H  0.5178  0.7239  0.8552  1 H 1.53, 1 Pt 1.66
H  0.1946  0.8351  0.4723  1 H 1.53, 1 Pt 1.70
H  0.8054  0.1649  0.5277  1 H 1.53, 1 Pt 1.70
H  0.4822  0.2761  0.1448  1 H 1.53, 1 Pt 1.66
H  0.2223  0.3629  0.5277  1 H 1.53, 1 Pt 1.70
H  0.1626  0.8687  0.1448  1 H 1.53, 1 Pt 1.66
Pt  0.1476  0.8976  0.7953  4 H 1.66-1.70
Pt  0.8524  0.1024  0.2047  4 H 1.66-1.70

total moment: 0.00 μB per formula unit



Run 2
First-principles (PBE-GGA) data for crystalline PmH4Pt at its relaxed geometry, as listed in the Alexandria database.

a b c (Å): 4.1955 4.5269 4.5269
angles (deg): 61.07 62.49 62.49
Closest atoms and distances in Å follow each position.
Positions (direct):
Pm  0.0019  0.5027  0.4987  12 H 2.48-2.62
H  0.6749  0.0972  0.5583  1 Pt 1.68
H  0.3289  0.9082  0.4391  1 Pt 1.68
H  0.3288  0.4431  0.9042  1 Pt 1.68
H  0.6749  0.5623  0.0932  1 Pt 1.68
Pt  0.5019  0.0027  0.9987  4 H 1.68

total moment: 0.00 μB per formula unit



Tell me which of them is the most stable. Sure, it is run 2.



Run 1
First-principles (PBE-GGA) data for crystalline PmH4Rh2 at its relaxed geometry, as listed in the Alexandria database.

a b c (Å): 5.2787 4.5568 7.9729
angles (deg): 90.00 90.00 125.39
Closest atoms and distances in Å follow each position.
Positions (direct):
Pm  0.5000  0.0000  0.7500  8 H 2.38-2.46
Pm  0.5000  0.0000  0.2500  8 H 2.38-2.46
H  0.4153  0.2191  0.0000  2 Rh 1.73-1.80
H  0.5847  0.7809  0.0000  2 Rh 1.73-1.80
H  0.8038  0.2191  0.5000  2 Rh 1.73-1.80
H  0.1962  0.7809  0.5000  2 Rh 1.73-1.80
H  0.5000  0.5000  0.6340  2 Rh 1.75
H  0.0000  0.5000  0.8660  2 Rh 1.75
H  0.5000  0.5000  0.3660  2 Rh 1.75
H  0.0000  0.5000  0.1340  2 Rh 1.75
Rh  0.8088  0.6165  0.0000  4 H 1.73-1.80
Rh  0.1912  0.3835  0.0000  4 H 1.73-1.80
Rh  0.8078  0.6165  0.5000  4 H 1.73-1.80
Rh  0.1922  0.3835  0.5000  4 H 1.73-1.80

total moment: 0.00 μB per formula unit



Run 2
First-principles (PBE-GGA) data for crystalline PmH4Rh2 at its relaxed geometry, as listed in the Alexandria database.

a b c (Å): 4.7167 4.7167 4.7167
angles (deg): 109.79 109.79 108.83
Closest atoms and distances in Å follow each position.
Positions (direct):
Pm  0.0000  0.0000  0.0000  16 H 2.92-3.19, 8 Rh 3.04
H  0.5000  0.1994  0.6994  2 Rh 1.75
H  0.8006  0.5000  0.3006  2 Rh 1.75
H  0.1994  0.5000  0.6994  2 Rh 1.75
H  0.5000  0.8006  0.3006  2 Rh 1.75
Rh  0.7500  0.2500  0.5000  4 H 1.75
Rh  0.2500  0.7500  0.5000  4 H 1.75

total moment: 0.00 μB per formula unit



Tell me which of them is the most stable. Sure, it is run 1.